A relaxed structure of SrMo2Br. Source: Alexandria via LeMat-Bulk, functional PBE.

a = 2.9834 Å, b = 2.9834 Å, c = 9.6876 Å
α = 90.00°, β = 90.00°, γ = 104.80°
Last column: nearest neighbours and their distance in Å.
Positions (direct):
Sr 0.0000 0.0000 0.0000  4 Sr 2.98, 4 Mo 3.30
Mo 0.5000 0.5000 0.2836  2 Br 2.78, 4 Mo 2.98
Mo 0.5000 0.5000 0.7164  2 Br 2.78, 4 Mo 2.98
Br 0.0000 0.0000 0.5000  4 Mo 2.78, 4 Br 2.98

## Properties
* formation energy (no corrections): 1.215 eV/atom
* size of the total moment: 0.00 μB/f.u.
* N(E_F): 0.88 states/eV/atom
* SG: Cmmm, No. 65



A relaxed structure of NaLiHgPt. Source: Alexandria via LeMat-Bulk, functional PBE.

a = 4.7082 Å, b = 4.7082 Å, c = 4.7082 Å
α = 60.00°, β = 60.00°, γ = 60.00°
Last column: nearest neighbours and their distance in Å.
Positions (direct):
Na 0.0000 0.0000 0.0000  4 Hg 2.88, 4 Li 2.88
Li 0.2500 0.2500 0.2500  4 Na 2.88, 4 Pt 2.88
Hg 0.7500 0.7500 0.7500  4 Pt 2.88, 4 Na 2.88
Pt 0.5000 0.5000 0.5000  4 Hg 2.88, 4 Li 2.88

## Properties
* size of the total moment: 0.00 μB/f.u.
* ΔH_f (0 K): -27 kJ/mol of atoms
* N(E_F): 0.61 states/eV/atom
* SG: F-43m, No. 216



A relaxed structure of LiAgTe2. Source: Alexandria via LeMat-Bulk, functional PBE.

a = 5.7568 Å, b = 5.7568 Å, c = 3.2192 Å
α = 101.67°, β = 101.67°, γ = 86.88°
Last column: nearest neighbours and their distance in Å.
Positions (direct):
Li 0.0000 0.0000 0.0000  4 Te 2.88, 2 Li 3.22
Ag 0.5000 0.5000 0.0000  4 Te 2.88, 2 Ag 3.22
Te 0.0000 0.5000 0.0000  2 Ag 2.88, 2 Li 2.88, 2 Te 3.22
Te 0.5000 0.0000 0.0000  2 Ag 2.88, 2 Li 2.88, 2 Te 3.22

## Properties
* formation energy (no corrections): -0.283 eV/atom
* size of the total moment: 0.00 μB/f.u.
* N(E_F): 0.40 states/eV/atom
* SG: C2/m, No. 12



A relaxed structure of KBaCu. Source: Alexandria via LeMat-Bulk, functional PBE.

a = 4.6138 Å, b = 4.6138 Å, c = 7.8618 Å
α = 90.00°, β = 90.00°, γ = 120.00°
Last column: nearest neighbours and their distance in Å.
Positions (direct):
K 0.0000 0.0000 0.0000  3 Cu 3.37
Ba 0.6667 0.3333 0.5135  3 Cu 3.19
Cu 0.3333 0.6667 0.7366  3 Ba 3.19, 3 K 3.37

## Properties
* size of the total moment: 0.00 μB/f.u.
* ΔH_f (0 K): 18 kJ/mol of atoms
* N(E_F): 0.54 states/eV/atom
* SG: P3m1, No. 156



A relaxed structure of SrAcTlGe. Source: Alexandria via LeMat-Bulk, functional PBE.

a = 5.6532 Å, b = 5.6532 Å, c = 5.6532 Å
α = 60.00°, β = 60.00°, γ = 60.00°
Last column: nearest neighbours and their distance in Å.
Positions (direct):
Sr 0.0000 0.0000 0.0000  4 Ge 3.46, 4 Tl 3.46
Ac 0.5000 0.5000 0.5000  4 Ge 3.46, 4 Tl 3.46
Tl 0.2500 0.2500 0.2500  4 Ac 3.46, 4 Sr 3.46
Ge 0.7500 0.7500 0.7500  4 Sr 3.46, 4 Ac 3.46

## Properties
* size of the total moment: 0.00 μB/f.u.
* ΔH_f (0 K): -40 kJ/mol of atoms
* N(E_F): 0.49 states/eV/atom
* SG: F-43m, No. 216



A relaxed structure of NbGaReRu2. Source: Alexandria via LeMat-Bulk, functional PBE.

a = 4.6530 Å, b = 4.6530 Å, c = 4.6722 Å
α = 90.00°, β = 90.00°, γ = 90.00°
Last column: nearest neighbours and their distance in Å.
Positions (direct):
Nb 0.0000 0.0000 0.0000  4 Ga 3.29, 8 Ru 3.30
Ga 0.5000 0.5000 0.0000  2 Re 2.34
Re 0.5000 0.5000 0.5000  4 Ru 2.33, 2 Ga 2.34
Ru 0.0000 0.5000 0.5000  2 Re 2.33
Ru 0.5000 0.0000 0.5000  2 Re 2.33

## Properties
* size of the total moment: 1.23 μB/f.u.
* ΔH_f (0 K): 133 kJ/mol of atoms
* N(E_F): 1.41 states/eV/atom
* SG: P4/mmm, No. 123



A relaxed structure of Zr2BiAu. Source: Alexandria via LeMat-Bulk, functional PBE.

a = 7.5111 Å, b = 7.5111 Å, c = 7.5111 Å
α = 30.87°, β = 30.87°, γ = 30.87°
Last column: nearest neighbours and their distance in Å.
Positions (direct):
Zr 0.2425 0.2425 0.2425  3 Au 2.82, 3 Bi 3.02
Zr 0.7575 0.7575 0.7575  3 Au 2.82, 3 Bi 3.02
Bi 0.0000 0.0000 0.0000  6 Zr 3.02
Au 0.5000 0.5000 0.5000  6 Zr 2.82

## Properties
* size of the total moment: 0.00 μB/f.u.
* ΔH_f (0 K): -22 kJ/mol of atoms
* N(E_F): 0.89 states/eV/atom
* SG: R-3m, No. 166



A relaxed structure of BaInP2. Source: Alexandria via LeMat-Bulk, functional PBE.

a = 4.1527 Å, b = 4.1527 Å, c = 6.9347 Å
α = 90.00°, β = 90.00°, γ = 90.00°
Last column: nearest neighbours and their distance in Å.
Positions (direct):
Ba 0.0000 0.0000 0.0000  5 P 3.07-3.27
In 0.5000 0.5000 0.5079  1 P 2.51
P 0.0000 0.0000 0.4722  4 In 2.95, 1 Ba 3.27
P 0.5000 0.5000 0.8700  1 In 2.51

## Properties
* size of the total moment: 0.01 μB/f.u.
* ΔH_f (0 K): -11 kJ/mol of atoms
* N(E_F): 1.06 states/eV/atom
* SG: P4mm, No. 99



A relaxed structure of Pm6Pr6Sm. Source: Alexandria via LeMat-Bulk, functional PBE.

a = 6.8201 Å, b = 6.8201 Å, c = 11.6485 Å
α = 90.00°, β = 90.00°, γ = 120.00°
Last column: nearest neighbours and their distance in Å.
Positions (direct):
Pm 0.0000 0.0000 0.1463  1 Pm 3.41, 6 Pr 3.62
Pm 0.0000 0.0000 0.8537  1 Pm 3.41, 6 Pr 3.62
Pm 0.3333 0.6667 0.0000  6 Pr 3.52, 3 Pm 3.94
Pm 0.3333 0.6667 0.5000  6 Pr 3.51
Pm 0.6667 0.3333 0.0000  6 Pr 3.52, 3 Pm 3.94
Pm 0.6667 0.3333 0.5000  6 Pr 3.51
Pr 0.0000 0.5000 0.2509  4 Pr 3.41, 6 Pm 3.51-3.62
Pr 0.0000 0.5000 0.7491  4 Pr 3.41, 6 Pm 3.51-3.62
Pr 0.5000 0.0000 0.2509  4 Pr 3.41, 6 Pm 3.51-3.62
Pr 0.5000 0.0000 0.7491  4 Pr 3.41, 6 Pm 3.51-3.62
Pr 0.5000 0.5000 0.2509  4 Pr 3.41, 6 Pm 3.51-3.62
Pr 0.5000 0.5000 0.7491  4 Pr 3.41, 6 Pm 3.51-3.62
Sm 0.0000 0.0000 0.5000  8 Pm 3.94-4.12

## Properties
* size of the total moment: 0.00 μB/f.u.
* ΔH_f (0 K): 26 kJ/mol of atoms
* N(E_F): 1.95 states/eV/atom
* SG: P6/mmm, No. 191



A relaxed structure of AuSeBr2. Source: Alexandria via LeMat-Bulk, functional PBE.

a = 5.2964 Å, b = 3.9864 Å, c = 5.3289 Å
α = 90.00°, β = 90.05°, γ = 90.00°
Last column: nearest neighbours and their distance in Å.
Positions (direct):
Au 0.0000 0.0000 0.0000  4 Br 2.69
Se 0.5000 0.0000 0.5000  4 Br 2.79
Br 0.2394 0.5000 0.7602  2 Au 2.69, 2 Se 2.79
Br 0.7606 0.5000 0.2398  2 Au 2.69, 2 Se 2.79

## Properties
* formation energy (no corrections): 0.281 eV/atom
* size of the total moment: 0.00 μB/f.u.
* N(E_F): 0.57 states/eV/atom
* SG: P2/m, No. 10



Which formula does entry 4 have?
KBaCu



Which value of N(E_F) does entry 7 give?
0.89 states/eV/atom